(1)
Ba2SnO3 | PBE | relaxed

Results
The calculation puts the volume at 19.77 Å³ per atom. The formation energy from raw total energies is -2.05 eV/atom. As for the electronic total energy: -35.03 eV/cell. The space group is Immm.

The structure in CIF format:
```
data_Ba2SnO3
_space_group_name_H-M_alt 'P 1'
_space_group_IT_number 1
_cell_length_a 3.829
_cell_length_b 4.383
_cell_length_c 7.643
_cell_angle_alpha 106.66
_cell_angle_beta 104.51
_cell_angle_gamma 90.00
loop_
_space_group_symop_operation_xyz
'x,y,z'
loop_
_atom_site_label
_atom_site_type_symbol
_atom_site_fract_x
_atom_site_fract_y
_atom_site_fract_z
O1 O 0.000 0.500 0.000
O2 O 0.161 0.161 0.323
O3 O 0.839 0.839 0.677
Ba1 Ba 0.650 0.650 0.300
Ba2 Ba 0.350 0.350 0.700
Sn1 Sn 0.000 0.000 0.000
```

(2)
Ba4SrSn5O15 | PBE | relaxed

Results
The calculation puts the volume at 14.53 Å³ per atom. The formation energy from raw total energies is -2.17 eV/atom. As for the electronic total energy: -157.97 eV/cell. The space group is P4/mmm.

The structure in CIF format:
```
data_Ba4SrSn5O15
_space_group_name_H-M_alt 'P 1'
_space_group_IT_number 1
_cell_length_a 4.173
_cell_length_b 4.173
_cell_length_c 20.861
_cell_angle_alpha 90.00
_cell_angle_beta 90.00
_cell_angle_gamma 90.00
loop_
_space_group_symop_operation_xyz
'x,y,z'
loop_
_atom_site_label
_atom_site_type_symbol
_atom_site_fract_x
_atom_site_fract_y
_atom_site_fract_z
O1 O 0.000 0.000 0.198
O2 O 0.000 0.000 0.802
O3 O 0.000 0.000 0.000
O4 O 0.500 0.000 0.702
O5 O 0.000 0.000 0.601
O6 O 0.000 0.500 0.702
O7 O 0.000 0.500 0.904
O8 O 0.000 0.500 0.096
O9 O 0.500 0.000 0.298
O10 O 0.500 0.000 0.096
O11 O 0.000 0.500 0.298
O12 O 0.000 0.500 0.500
O13 O 0.500 0.000 0.904
O14 O 0.500 0.000 0.500
O15 O 0.000 0.000 0.399
Sn1 Sn 0.000 0.000 0.299
Sn2 Sn 0.000 0.000 0.500
Sn3 Sn 0.000 0.000 0.098
Sn4 Sn 0.000 0.000 0.701
Sn5 Sn 0.000 0.000 0.902
Ba1 Ba 0.500 0.500 0.601
Ba2 Ba 0.500 0.500 0.198
Ba3 Ba 0.500 0.500 0.802
Ba4 Ba 0.500 0.500 0.399
Sr1 Sr 0.500 0.500 0.000
```

(3)
BaSr2Sn3O9 | PBE | relaxed

Results
The calculation puts the volume at 14.11 Å³ per atom. The formation energy from raw total energies is -2.19 eV/atom. As for the electronic total energy: -189.59 eV/cell. The space group is C2.

The structure in CIF format:
```
data_BaSr2Sn3O9
_space_group_name_H-M_alt 'P 1'
_space_group_IT_number 1
_cell_length_a 5.841
_cell_length_b 5.841
_cell_length_c 14.273
_cell_angle_alpha 89.79
_cell_angle_beta 89.79
_cell_angle_gamma 60.38
loop_
_space_group_symop_operation_xyz
'x,y,z'
loop_
_atom_site_label
_atom_site_type_symbol
_atom_site_fract_x
_atom_site_fract_y
_atom_site_fract_z
O1 O 0.542 0.021 0.988
O2 O 0.639 0.159 0.681
O3 O 0.118 0.216 0.669
O4 O 0.467 0.986 0.508
O5 O 0.014 0.533 0.492
O6 O 0.798 0.308 0.847
O7 O 0.569 0.431 0.500
O8 O 0.979 0.458 0.012
O9 O 0.128 0.651 0.172
O10 O 0.910 0.757 0.835
O11 O 0.349 0.872 0.828
O12 O 0.175 0.697 0.653
O13 O 0.784 0.882 0.331
O14 O 0.303 0.825 0.347
O15 O 0.841 0.361 0.319
O16 O 0.692 0.202 0.153
O17 O 0.243 0.090 0.165
O18 O 0.426 0.574 0.000
Sr1 Sr 0.678 0.657 0.164
Sr2 Sr 0.343 0.322 0.836
Sr3 Sr 0.996 0.004 0.000
Sr4 Sr 0.008 0.992 0.500
Sn1 Sn 0.000 0.999 0.752
Sn2 Sn 0.336 0.332 0.082
Sn3 Sn 0.668 0.664 0.918
Sn4 Sn 0.333 0.334 0.584
Sn5 Sn 0.001 0.000 0.248
Sn6 Sn 0.666 0.667 0.416
Ba1 Ba 0.330 0.336 0.333
Ba2 Ba 0.664 0.670 0.667
```

(4)
Ba4SrSn3O12 | PBE | relaxed

Results
The calculation puts the volume at 16.23 Å³ per atom. The formation energy from raw total energies is -2.10 eV/atom. As for the electronic total energy: -122.89 eV/cell. The space group is Im-3m.

The structure in CIF format:
```
data_Ba4SrSn3O12
_space_group_name_H-M_alt 'P 1'
_space_group_IT_number 1
_cell_length_a 7.499
_cell_length_b 7.499
_cell_length_c 7.499
_cell_angle_alpha 109.47
_cell_angle_beta 109.47
_cell_angle_gamma 109.47
loop_
_space_group_symop_operation_xyz
'x,y,z'
loop_
_atom_site_label
_atom_site_type_symbol
_atom_site_fract_x
_atom_site_fract_y
_atom_site_fract_z
O1 O 0.750 0.250 0.500
O2 O 0.000 0.271 0.271
O3 O 0.271 0.271 0.000
O4 O 0.271 0.000 0.271
O5 O 0.500 0.750 0.250
O6 O 0.250 0.500 0.750
O7 O 0.500 0.250 0.750
O8 O 0.000 0.729 0.729
O9 O 0.729 0.729 0.000
O10 O 0.250 0.750 0.500
O11 O 0.729 0.000 0.729
O12 O 0.750 0.500 0.250
Sr1 Sr 0.000 0.000 0.000
Sn1 Sn 0.500 0.500 0.000
Sn2 Sn 0.000 0.500 0.500
Sn3 Sn 0.500 0.000 0.500
Ba1 Ba 0.500 0.500 0.500
Ba2 Ba 0.000 0.000 0.500
Ba3 Ba 0.000 0.500 0.000
Ba4 Ba 0.500 0.000 0.000
```

(5)
Ba2SrSnO | PBE | relaxed

Results
The calculation puts the volume at 31.82 Å³ per atom. The formation energy from raw total energies is -1.41 eV/atom. As for the electronic total energy: -21.55 eV/cell. The space group is P4/mmm.

The structure in CIF format:
```
data_Ba2SrSnO
_space_group_name_H-M_alt 'P 1'
_space_group_IT_number 1
_cell_length_a 5.506
_cell_length_b 5.506
_cell_length_c 5.248
_cell_angle_alpha 90.00
_cell_angle_beta 90.00
_cell_angle_gamma 90.00
loop_
_space_group_symop_operation_xyz
'x,y,z'
loop_
_atom_site_label
_atom_site_type_symbol
_atom_site_fract_x
_atom_site_fract_y
_atom_site_fract_z
Sr1 Sr 0.000 0.000 0.500
Sn1 Sn 0.500 0.500 0.500
O1 O 0.000 0.000 0.000
Ba1 Ba 0.000 0.500 0.000
Ba2 Ba 0.500 0.000 0.000
```

(6)
Ba3SrSn4O12 | PBE | relaxed

Results
The calculation puts the volume at 14.48 Å³ per atom. The formation energy from raw total energies is -2.17 eV/atom. As for the electronic total energy: -126.33 eV/cell. The space group is Pmmm.

The structure in CIF format:
```
data_Ba3SrSn4O12
_space_group_name_H-M_alt 'P 1'
_space_group_IT_number 1
_cell_length_a 4.168
_cell_length_b 5.897
_cell_length_c 11.785
_cell_angle_alpha 90.00
_cell_angle_beta 90.00
_cell_angle_gamma 90.00
loop_
_space_group_symop_operation_xyz
'x,y,z'
loop_
_atom_site_label
_atom_site_type_symbol
_atom_site_fract_x
_atom_site_fract_y
_atom_site_fract_z
Ba1 Ba 0.500 0.000 0.752
Ba2 Ba 0.500 0.000 0.248
Ba3 Ba 0.500 0.500 0.500
O1 O 0.500 0.000 0.000
O2 O 0.000 0.746 0.878
O3 O 0.500 0.500 0.756
O4 O 0.000 0.250 0.626
O5 O 0.500 0.000 0.500
O6 O 0.000 0.750 0.626
O7 O 0.000 0.254 0.122
O8 O 0.500 0.500 0.244
O9 O 0.000 0.254 0.878
O10 O 0.000 0.250 0.374
O11 O 0.000 0.746 0.122
O12 O 0.000 0.750 0.374
Sn1 Sn 0.000 0.500 0.248
Sn2 Sn 0.000 0.000 0.500
Sn3 Sn 0.000 0.000 0.000
Sn4 Sn 0.000 0.500 0.752
Sr1 Sr 0.500 0.500 0.000
```

(7)
Ba4SrSn5O15 | PBE | relaxed

Results
The calculation puts the volume at 14.52 Å³ per atom. The formation energy from raw total energies is -2.17 eV/atom. As for the electronic total energy: -157.91 eV/cell. The space group is R-3m.

The structure in CIF format:
```
data_Ba4SrSn5O15
_space_group_name_H-M_alt 'P 1'
_space_group_IT_number 1
_cell_length_a 12.507
_cell_length_b 12.507
_cell_length_c 12.507
_cell_angle_alpha 27.30
_cell_angle_beta 27.30
_cell_angle_gamma 27.30
loop_
_space_group_symop_operation_xyz
'x,y,z'
loop_
_atom_site_label
_atom_site_type_symbol
_atom_site_fract_x
_atom_site_fract_y
_atom_site_fract_z
Sr1 Sr 0.000 0.000 0.000
O1 O 0.300 0.300 0.800
O2 O 0.300 0.800 0.300
O3 O 0.200 0.700 0.700
O4 O 0.099 0.099 0.605
O5 O 0.700 0.200 0.700
O6 O 0.605 0.099 0.099
O7 O 0.000 0.500 0.500
O8 O 0.500 0.000 0.500
O9 O 0.395 0.901 0.901
O10 O 0.901 0.395 0.901
O11 O 0.700 0.700 0.200
O12 O 0.099 0.605 0.099
O13 O 0.901 0.901 0.395
O14 O 0.800 0.300 0.300
O15 O 0.500 0.500 0.000
Sn1 Sn 0.099 0.099 0.099
Sn2 Sn 0.300 0.300 0.300
Sn3 Sn 0.500 0.500 0.500
Sn4 Sn 0.901 0.901 0.901
Sn5 Sn 0.700 0.700 0.700
Ba1 Ba 0.601 0.601 0.601
Ba2 Ba 0.800 0.800 0.800
Ba3 Ba 0.399 0.399 0.399
Ba4 Ba 0.200 0.200 0.200
```

(8)
BaSr2SnO | PBE | relaxed

Results
The calculation puts the volume at 29.88 Å³ per atom. The formation energy from raw total energies is -1.45 eV/atom. As for the electronic total energy: -21.49 eV/cell. The space group is P4/mmm.

The structure in CIF format:
```
data_BaSr2SnO
_space_group_name_H-M_alt 'P 1'
_space_group_IT_number 1
_cell_length_a 5.245
_cell_length_b 5.245
_cell_length_c 5.432
_cell_angle_alpha 90.00
_cell_angle_beta 90.00
_cell_angle_gamma 90.00
loop_
_space_group_symop_operation_xyz
'x,y,z'
loop_
_atom_site_label
_atom_site_type_symbol
_atom_site_fract_x
_atom_site_fract_y
_atom_site_fract_z
Sr1 Sr 0.000 0.500 0.000
Sr2 Sr 0.500 0.000 0.000
Sn1 Sn 0.500 0.500 0.500
Ba1 Ba 0.000 0.000 0.500
O1 O 0.000 0.000 0.000
```

(9)
BaSr3Sn4O12 | PBE | relaxed

Results
The calculation puts the volume at 14.04 Å³ per atom. The formation energy from raw total energies is -2.20 eV/atom. As for the electronic total energy: -126.44 eV/cell. The space group is Pm.

The structure in CIF format:
```
data_BaSr3Sn4O12
_space_group_name_H-M_alt 'P 1'
_space_group_IT_number 1
_cell_length_a 8.239
_cell_length_b 5.837
_cell_length_c 5.838
_cell_angle_alpha 90.12
_cell_angle_beta 90.00
_cell_angle_gamma 90.00
loop_
_space_group_symop_operation_xyz
'x,y,z'
loop_
_atom_site_label
_atom_site_type_symbol
_atom_site_fract_x
_atom_site_fract_y
_atom_site_fract_z
O1 O 0.500 0.569 0.501
O2 O 0.000 0.071 0.025
O3 O 0.790 0.776 0.724
O4 O 0.212 0.720 0.221
O5 O 0.500 0.953 0.977
O6 O 0.272 0.273 0.772
O7 O 0.714 0.215 0.284
O8 O 0.286 0.215 0.284
O9 O 0.728 0.273 0.772
O10 O 0.788 0.720 0.221
O11 O 0.210 0.776 0.724
O12 O 0.000 0.432 0.507
Sr1 Sr 0.500 0.007 0.527
Sr2 Sr 0.000 0.505 0.970
Sr3 Sr 0.000 0.998 0.478
Sn1 Sn 0.248 0.500 0.498
Sn2 Sn 0.753 0.000 0.001
Sn3 Sn 0.247 0.000 0.001
Sn4 Sn 0.752 0.500 0.498
Ba1 Ba 0.500 0.496 0.013
```

(10)
BaSrTbSnO6 | PBE | relaxed

Results
The calculation puts the volume at 15.90 Å³ per atom. The formation energy from raw total energies is -2.46 eV/atom. As for the electronic total energy: -66.56 eV/cell. The space group is F-43m.

The structure in CIF format:
```
data_BaSrTbSnO6
_space_group_name_H-M_alt 'P 1'
_space_group_IT_number 1
_cell_length_a 6.081
_cell_length_b 6.081
_cell_length_c 6.081
_cell_angle_alpha 60.00
_cell_angle_beta 60.00
_cell_angle_gamma 60.00
loop_
_space_group_symop_operation_xyz
'x,y,z'
loop_
_atom_site_label
_atom_site_type_symbol
_atom_site_fract_x
_atom_site_fract_y
_atom_site_fract_z
O1 O 0.241 0.759 0.241
O2 O 0.241 0.759 0.759
O3 O 0.241 0.241 0.759
O4 O 0.759 0.241 0.241
O5 O 0.759 0.759 0.241
O6 O 0.759 0.241 0.759
Ba1 Ba 0.250 0.250 0.250
Sr1 Sr 0.750 0.750 0.750
Sn1 Sn 0.000 0.000 0.000
Tb1 Tb 0.500 0.500 0.500
```

(11)
BaTaSn2O8 | PBE | relaxed

Results
The calculation puts the volume at 14.39 Å³ per atom. The formation energy from raw total energies is -1.94 eV/atom. As for the electronic total energy: -84.78 eV/cell. The space group is P2/m.

The structure in CIF format:
```
data_BaTaSn2O8
_space_group_name_H-M_alt 'P 1'
_space_group_IT_number 1
_cell_length_a 4.941
_cell_length_b 4.936
_cell_length_c 7.090
_cell_angle_alpha 90.01
_cell_angle_beta 90.00
_cell_angle_gamma 87.14
loop_
_space_group_symop_operation_xyz
'x,y,z'
loop_
_atom_site_label
_atom_site_type_symbol
_atom_site_fract_x
_atom_site_fract_y
_atom_site_fract_z
O1 O 0.354 0.348 0.500
O2 O 0.705 0.707 0.000
O3 O 0.203 0.795 0.802
O4 O 0.203 0.795 0.198
O5 O 0.646 0.652 0.500
O6 O 0.797 0.205 0.802
O7 O 0.797 0.205 0.198
O8 O 0.295 0.293 0.000
Sn1 Sn 0.500 0.500 0.774
Sn2 Sn 0.500 0.500 0.226
Ta1 Ta 0.000 0.000 0.000
Ba1 Ba 0.000 0.000 0.500
```

(12)
BaTa2SnO7 | PBE | relaxed

Results
The calculation puts the volume at 15.66 Å³ per atom. The formation energy from raw total energies is -2.59 eV/atom. As for the electronic total energy: -92.82 eV/cell. The space group is I-4m2.

The structure in CIF format:
```
data_BaTa2SnO7
_space_group_name_H-M_alt 'P 1'
_space_group_IT_number 1
_cell_length_a 4.027
_cell_length_b 4.027
_cell_length_c 11.001
_cell_angle_alpha 100.55
_cell_angle_beta 100.55
_cell_angle_gamma 90.00
loop_
_space_group_symop_operation_xyz
'x,y,z'
loop_
_atom_site_label
_atom_site_type_symbol
_atom_site_fract_x
_atom_site_fract_y
_atom_site_fract_z
O1 O 0.000 0.000 0.000
O2 O 0.593 0.093 0.185
O3 O 0.404 0.904 0.807
O4 O 0.907 0.407 0.815
O5 O 0.096 0.596 0.193
O6 O 0.808 0.808 0.616
O7 O 0.192 0.192 0.384
Ta1 Ta 0.898 0.898 0.796
Ta2 Ta 0.102 0.102 0.204
Ba1 Ba 0.500 0.500 0.000
Sn1 Sn 0.250 0.750 0.500
```

| no. | magnetic moment (μB/f.u.) |
| --- | --- |
| 1 | 0.0 |
| 2 | 0.0 |
| 3 | 0.0 |
| 4 | 2.0 |
| 5 | 0.0 |
| 6 | 0.0 |
| 7 | 0.0 |
| 8 | 0.0 |
| 9 | 0.0 |
| 10 | 1.0 |
| 11 | 1.0 |
| 12 | 0.0 |